Tl3Co: relaxed, PBE.

Cell and atoms, written as CIF:
```
data_Tl3Co
_cell_length_a 5.617
_cell_length_b 5.617
_cell_length_c 3.350
_cell_angle_alpha 90.00
_cell_angle_beta 90.00
_cell_angle_gamma 111.62
_symmetry_space_group_name_H-M 'P 1'
_symmetry_Int_Tables_number 1
_symmetry_space_group_name_Hall 'P 1'
loop_
_atom_site_label
_atom_site_fract_x
_atom_site_fract_y
_atom_site_fract_z
_atom_site_occupancy
Tl1 0.000 0.000 0.000 1
Tl2 0.000 0.500 0.500 1
Tl3 0.500 0.000 0.500 1
Co1 0.500 0.500 0.000 1
```

- symmetry = Cmmm, No. 65
- ΔH_f (0 K) (meV/atom) = 612

=====

KTl2W: relaxed, PBE.

Cell and atoms, written as CIF:
```
data_KTl2W
_cell_length_a 8.731
_cell_length_b 8.731
_cell_length_c 8.731
_cell_angle_alpha 160.11
_cell_angle_beta 147.66
_cell_angle_gamma 38.26
_symmetry_space_group_name_H-M 'P 1'
_symmetry_Int_Tables_number 1
_symmetry_space_group_name_Hall 'P 1'
loop_
_atom_site_label
_atom_site_fract_x
_atom_site_fract_y
_atom_site_fract_z
_atom_site_occupancy
K1 0.000 0.000 0.000 1
Tl1 0.355 0.355 0.000 1
Tl2 0.681 0.181 0.500 1
W1 0.203 0.703 0.500 1
```

- symmetry = Imm2, No. 44
- ΔH_f (0 K) (meV/atom) = 767
- energy relative to the lowest polymorph listed for this composition (eV per atom) = 0.095

=====

TiB3N: relaxed, PBE.

Cell and atoms, written as CIF:
```
data_TiB3N
_cell_length_a 3.490
_cell_length_b 3.490
_cell_length_c 3.490
_cell_angle_alpha 90.00
_cell_angle_beta 90.00
_cell_angle_gamma 90.00
_symmetry_space_group_name_H-M 'P 1'
_symmetry_Int_Tables_number 1
_symmetry_space_group_name_Hall 'P 1'
loop_
_atom_site_label
_atom_site_fract_x
_atom_site_fract_y
_atom_site_fract_z
_atom_site_occupancy
Ti1 0.000 0.000 0.000 1
B1 0.000 0.500 0.500 1
B2 0.500 0.000 0.500 1
B3 0.500 0.500 0.000 1
N1 0.500 0.500 0.500 1
```

- symmetry = Pm-3m, No. 221
- formation energy (no corrections) (eV per atom) = 1.29
- energy relative to the lowest polymorph listed for this composition (eV per atom) = 0.000

=====

VHgPd3: relaxed, PBE.

Cell and atoms, written as CIF:
```
data_VHgPd3
_cell_length_a 4.990
_cell_length_b 4.990
_cell_length_c 4.990
_cell_angle_alpha 90.00
_cell_angle_beta 90.00
_cell_angle_gamma 90.00
_symmetry_space_group_name_H-M 'P 1'
_symmetry_Int_Tables_number 1
_symmetry_space_group_name_Hall 'P 1'
loop_
_atom_site_label
_atom_site_fract_x
_atom_site_fract_y
_atom_site_fract_z
_atom_site_occupancy
V1 0.000 0.000 0.000 1
Hg1 0.500 0.500 0.500 1
Pd1 0.000 0.500 0.500 1
Pd2 0.500 0.000 0.500 1
Pd3 0.500 0.500 0.000 1
```

- symmetry = Pm-3m, No. 221
- ΔH_f (0 K) (meV/atom) = 1201
- energy relative to the lowest polymorph listed for this composition (eV per atom) = 0.571

=====

YSc3Se6: relaxed, PBE.

Cell and atoms, written as CIF:
```
data_YSc3Se6
_cell_length_a 11.196
_cell_length_b 3.928
_cell_length_c 11.394
_cell_angle_alpha 90.00
_cell_angle_beta 109.73
_cell_angle_gamma 90.00
_symmetry_space_group_name_H-M 'P 1'
_symmetry_Int_Tables_number 1
_symmetry_space_group_name_Hall 'P 1'
loop_
_atom_site_label
_atom_site_fract_x
_atom_site_fract_y
_atom_site_fract_z
_atom_site_occupancy
Y1 0.047 0.250 0.199 1
Y2 0.953 0.750 0.801 1
Sc1 0.159 0.250 0.587 1
Sc2 0.317 0.750 0.002 1
Sc3 0.439 0.250 0.336 1
Sc4 0.561 0.750 0.664 1
Sc5 0.683 0.250 0.998 1
Sc6 0.841 0.750 0.413 1
Se1 0.082 0.750 0.408 1
Se2 0.117 0.250 0.967 1
Se3 0.201 0.750 0.751 1
Se4 0.264 0.750 0.229 1
Se5 0.392 0.250 0.560 1
Se6 0.476 0.250 0.115 1
Se7 0.524 0.750 0.885 1
Se8 0.608 0.750 0.440 1
Se9 0.736 0.250 0.771 1
Se10 0.799 0.250 0.249 1
Se11 0.883 0.750 0.033 1
Se12 0.918 0.250 0.592 1
```

- symmetry = P2_1/m, No. 11
- formation energy (no corrections) (eV per atom) = -1.72

=====

TbEr3Co: relaxed, PBE.

Cell and atoms, written as CIF:
```
data_TbEr3Co
_cell_length_a 5.229
_cell_length_b 5.229
_cell_length_c 5.229
_cell_angle_alpha 90.00
_cell_angle_beta 90.00
_cell_angle_gamma 90.00
_symmetry_space_group_name_H-M 'P 1'
_symmetry_Int_Tables_number 1
_symmetry_space_group_name_Hall 'P 1'
loop_
_atom_site_label
_atom_site_fract_x
_atom_site_fract_y
_atom_site_fract_z
_atom_site_occupancy
Tb1 0.000 0.000 0.000 1
Er1 0.000 0.500 0.500 1
Er2 0.500 0.000 0.500 1
Er3 0.500 0.500 0.000 1
Co1 0.500 0.500 0.500 1
```

- symmetry = Pm-3m, No. 221
- ΔH_f (0 K) (meV/atom) = -28
- energy relative to the lowest polymorph listed for this composition (eV per atom) = 0.031

=====

LaGe3Ru5: relaxed, PBE.

Cell and atoms, written as CIF:
```
data_LaGe3Ru5
_cell_length_a 6.863
_cell_length_b 6.863
_cell_length_c 11.715
_cell_angle_alpha 90.00
_cell_angle_beta 90.00
_cell_angle_gamma 145.01
_symmetry_space_group_name_H-M 'P 1'
_symmetry_Int_Tables_number 1
_symmetry_space_group_name_Hall 'P 1'
loop_
_atom_site_label
_atom_site_fract_x
_atom_site_fract_y
_atom_site_fract_z
_atom_site_occupancy
La1 0.184 0.816 0.750 1
La2 0.816 0.184 0.250 1
Ge1 0.115 0.885 0.250 1
Ge2 0.376 0.624 0.051 1
Ge3 0.376 0.624 0.449 1
Ge4 0.624 0.376 0.551 1
Ge5 0.624 0.376 0.949 1
Ge6 0.885 0.115 0.750 1
Ru1 0.000 0.000 0.000 1
Ru2 0.000 0.000 0.500 1
Ru3 0.192 0.808 0.060 1
Ru4 0.192 0.808 0.440 1
Ru5 0.454 0.546 0.645 1
Ru6 0.454 0.546 0.855 1
Ru7 0.546 0.454 0.145 1
Ru8 0.546 0.454 0.355 1
Ru9 0.808 0.192 0.560 1
Ru10 0.808 0.192 0.940 1
```

- symmetry = Cmcm, No. 63
- ΔH_f (0 K) (meV/atom) = -264

=====

BaHSe2: relaxed, PBE.

Cell and atoms, written as CIF:
```
data_BaHSe2
_cell_length_a 5.888
_cell_length_b 5.888
_cell_length_c 5.888
_cell_angle_alpha 47.88
_cell_angle_beta 47.88
_cell_angle_gamma 47.88
_symmetry_space_group_name_H-M 'P 1'
_symmetry_Int_Tables_number 1
_symmetry_space_group_name_Hall 'P 1'
loop_
_atom_site_label
_atom_site_fract_x
_atom_site_fract_y
_atom_site_fract_z
_atom_site_occupancy
Ba1 0.000 0.000 0.000 1
H1 0.500 0.500 0.500 1
Se1 0.206 0.206 0.206 1
Se2 0.794 0.794 0.794 1
```

- symmetry = R-3m, No. 166
- energy relative to the lowest polymorph listed for this composition (eV per atom) = 0.373

=====

CsTi2NiW: relaxed, PBE.

Cell and atoms, written as CIF:
```
data_CsTi2NiW
_cell_length_a 4.703
_cell_length_b 4.703
_cell_length_c 5.140
_cell_angle_alpha 90.00
_cell_angle_beta 90.00
_cell_angle_gamma 90.00
_symmetry_space_group_name_H-M 'P 1'
_symmetry_Int_Tables_number 1
_symmetry_space_group_name_Hall 'P 1'
loop_
_atom_site_label
_atom_site_fract_x
_atom_site_fract_y
_atom_site_fract_z
_atom_site_occupancy
Cs1 0.000 0.000 0.000 1
Ti1 0.000 0.500 0.500 1
Ti2 0.500 0.000 0.500 1
Ni1 0.000 0.000 0.500 1
W1 0.500 0.500 0.000 1
```

- symmetry = P4/mmm, No. 123
- ΔH_f (0 K) (meV/atom) = 1862

=====

Cd3CuAu: relaxed, PBE.

Cell and atoms, written as CIF:
```
data_Cd3CuAu
_cell_length_a 4.954
_cell_length_b 4.954
_cell_length_c 4.954
_cell_angle_alpha 90.00
_cell_angle_beta 90.00
_cell_angle_gamma 90.00
_symmetry_space_group_name_H-M 'P 1'
_symmetry_Int_Tables_number 1
_symmetry_space_group_name_Hall 'P 1'
loop_
_atom_site_label
_atom_site_fract_x
_atom_site_fract_y
_atom_site_fract_z
_atom_site_occupancy
Cd1 0.000 0.000 0.500 1
Cd2 0.000 0.500 0.000 1
Cd3 0.500 0.000 0.000 1
Cu1 0.000 0.000 0.000 1
Au1 0.500 0.500 0.500 1
```

- symmetry = Pm-3m, No. 221
- ΔH_f (0 K) (meV/atom) = 307
- energy relative to the lowest polymorph listed for this composition (eV per atom) = 0.346

=====

LaCdSn2Pd5: relaxed, PBE.

Cell and atoms, written as CIF:
```
data_LaCdSn2Pd5
_cell_length_a 4.267
_cell_length_b 4.267
_cell_length_c 10.227
_cell_angle_alpha 90.00
_cell_angle_beta 90.00
_cell_angle_gamma 90.00
_symmetry_space_group_name_H-M 'P 1'
_symmetry_Int_Tables_number 1
_symmetry_space_group_name_Hall 'P 1'
loop_
_atom_site_label
_atom_site_fract_x
_atom_site_fract_y
_atom_site_fract_z
_atom_site_occupancy
La1 0.000 0.000 0.000 1
Cd1 0.000 0.000 0.500 1
Sn1 0.500 0.500 0.363 1
Sn2 0.500 0.500 0.637 1
Pd1 0.000 0.500 0.206 1
Pd2 0.000 0.500 0.794 1
Pd3 0.500 0.000 0.206 1
Pd4 0.500 0.000 0.794 1
Pd5 0.500 0.500 0.000 1
```

- symmetry = P4/mmm, No. 123
- ΔH_f (0 K) (meV/atom) = -438

=====

CuSbH2Rh: relaxed, PBE.

Cell and atoms, written as CIF:
```
data_CuSbH2Rh
_cell_length_a 3.594
_cell_length_b 3.594
_cell_length_c 5.035
_cell_angle_alpha 90.00
_cell_angle_beta 90.00
_cell_angle_gamma 90.00
_symmetry_space_group_name_H-M 'P 1'
_symmetry_Int_Tables_number 1
_symmetry_space_group_name_Hall 'P 1'
loop_
_atom_site_label
_atom_site_fract_x
_atom_site_fract_y
_atom_site_fract_z
_atom_site_occupancy
Cu1 0.000 0.000 0.000 1
Sb1 0.500 0.500 0.000 1
H1 0.000 0.500 0.500 1
H2 0.500 0.000 0.500 1
Rh1 0.000 0.000 0.500 1
```

- electronic total energy (eV per atom) = -4.156
- symmetry = P4/mmm, No. 123